A plane-wave DFT calculation with GGA-PBE was carried out for a geometry-optimized Hf6Pd2O structure.

SG: P2_1/c, No. 14
E_form (uncorrected): -0.842 eV per atom
Volume: 338.6 Å³ per cell

POSCAR file:
```
Hf6Pd2O
1.0
5.776 0.000 0.083
0.000 6.259 0.000
-0.620 0.000 9.356
O Hf Pd
2 12 4
direct
0.000 0.000 0.500
0.500 0.500 0.000
0.838 0.698 0.957
0.162 0.302 0.043
0.338 0.802 0.457
0.662 0.198 0.543
0.651 0.477 0.248
0.151 0.023 0.748
0.847 0.685 0.544
0.349 0.523 0.752
0.347 0.815 0.044
0.653 0.185 0.956
0.849 0.977 0.252
0.153 0.315 0.456
0.604 0.892 0.744
0.896 0.392 0.756
0.396 0.108 0.256
0.104 0.608 0.244
```